(1)
5
Lattice="5.017 0.000 0.000 0.000 5.017 0.000 0.000 0.000 4.094" Properties=species:S:1:pos:R:3 comment="Y2HfSeO, relaxed, DFT GGA-PBE" crystal_system=tetragonal dos_ef_per_ev_atom=0.95 magnetic_moment_mub_per_atom=0.0000 formation_energy_uncorrected_ev_per_atom=-1.219 pbc="T T T"
Y 0.000 2.508 0.000
Y 2.508 0.000 0.000
Hf 0.000 0.000 2.047
Se 2.508 2.508 2.047
O 0.000 0.000 0.000

***

(2)
18
Lattice="3.209 -5.632 0.000 3.209 5.632 0.000 -0.184 0.000 13.073" Properties=species:S:1:pos:R:3 comment="NaMn5Cl12, relaxed, DFT GGA-PBE" crystal_system=monoclinic dos_ef_per_ev_atom=0.58 magnetic_moment_mub_per_atom=1.3333 formation_energy_uncorrected_ev_per_atom=-1.133 pbc="T T T"
Na 0.000 0.000 0.000
Mn 3.117 3.754 6.536
Mn 3.209 1.841 0.000
Mn 3.117 0.000 6.536
Mn 3.209 -1.841 0.000
Mn 3.117 -3.754 6.536
Cl 1.081 2.066 11.692
Cl 2.044 1.877 5.161
Cl 0.981 0.000 7.913
Cl 2.348 0.000 1.425
Cl 1.081 -2.066 11.692
Cl 2.044 -1.877 5.161
Cl 4.191 1.877 7.912
Cl 5.153 2.066 1.380
Cl 3.887 0.000 11.648
Cl 5.253 0.000 5.160
Cl 4.191 -1.877 7.912
Cl 5.153 -2.066 1.380

***

(3)
4
Lattice="1.410 0.814 9.151 -1.410 0.814 9.151 0.000 -1.628 9.151" Properties=species:S:1:pos:R:3 comment="TaIr2W, relaxed, DFT GGA-PBE" polymorph_energy_kj_per_mol_fu=120 crystal_system=trigonal dos_ef_per_ev_atom=1.65 magnetic_moment_mub_per_atom=0.0000 ef_mev_per_atom=-147 pbc="T T T"
Ta 0.000 0.000 0.000
Ir 0.000 0.000 6.806
Ir 0.000 0.000 20.647
W 0.000 0.000 13.727

***

| no. | DFT total energy (eV/cell) |
| --- | --- |
| 1 | -37.42 |
| 2 | -89.71 |
| 3 | -43.11 |